Material: Dy5Ni2Se2
Method: DFT, GGA-PBE
State: relaxed

Summary:
Total moment, μB per cell: 0.00
Formation energy (no corrections), eV/atom: -0.937
DFT total energy, hartree per atom: -0.2041

Cell: 7.455 7.470 8.320 Å, 90.00 63.38 90.00°
Atoms (fractional coordinates):
Dy (0.712, 0.342, 0.254)
Dy (0.466, 0.158, 0.746)
Dy (0.212, 0.158, 0.254)
Dy (0.788, 0.842, 0.746)
Dy (0.000, 0.000, 0.000)
Dy (0.966, 0.342, 0.746)
Dy (0.534, 0.842, 0.254)
Dy (0.034, 0.658, 0.254)
Dy (0.500, 0.500, 0.000)
Dy (0.288, 0.658, 0.746)
Ni (0.367, 0.871, 0.000)
Ni (0.133, 0.371, 0.000)
Ni (0.867, 0.629, 0.000)
Ni (0.633, 0.129, 0.000)
Se (0.704, 0.500, 0.591)
Se (0.296, 0.500, 0.409)
Se (0.204, 0.000, 0.591)
Se (0.796, 0.000, 0.409)


Material: Dy2NiSe
Method: DFT, GGA-PBE
State: relaxed

Summary:
Total moment, μB per cell: 0.00
ΔE to the lowest computed polymorph, meV per atom: 64
Formation energy (no corrections), eV/atom: -1.022
DFT total energy, hartree per atom: -0.2073

Cell: 3.904 3.904 7.367 Å, 74.64 74.64 60.00°
Atoms (fractional coordinates):
Dy (0.258, 0.258, 0.226)
Dy (0.742, 0.742, 0.774)
Ni (0.000, 0.000, 0.000)
Se (0.500, 0.500, 0.500)


Material: Dy3Ni5Se12
Method: DFT, GGA-PBE
State: relaxed

Summary:
Total moment, μB per cell: 0.00
Formation energy (no corrections), eV/atom: -0.733
DFT total energy, hartree per atom: -0.1823

Cell: 13.164 13.164 13.164 Å, 109.47 109.47 109.47°
Atoms (fractional coordinates):
Se (0.027, 0.409, 0.825)
Se (0.618, 0.027, 0.203)
Se (0.825, 0.909, 0.027)
Se (0.409, 0.027, 0.325)
Se (0.085, 0.909, 0.382)
Se (0.297, 0.882, 0.973)
Se (0.091, 0.915, 0.118)
Se (0.118, 0.703, 0.527)
Se (0.915, 0.091, 0.618)
Se (0.325, 0.527, 0.409)
Se (0.091, 0.175, 0.473)
Se (0.118, 0.415, 0.091)
Se (0.473, 0.797, 0.882)
Se (0.703, 0.585, 0.175)
Se (0.415, 0.118, 0.591)
Se (0.797, 0.473, 0.382)
Se (0.909, 0.825, 0.527)
Se (0.027, 0.618, 0.703)
Se (0.527, 0.203, 0.118)
Se (0.915, 0.825, 0.797)
Se (0.909, 0.085, 0.882)
Se (0.325, 0.797, 0.415)
Se (0.382, 0.409, 0.085)
Se (0.473, 0.675, 0.091)
Se (0.527, 0.325, 0.909)
Se (0.085, 0.175, 0.203)
Se (0.797, 0.325, 0.915)
Se (0.409, 0.382, 0.585)
Se (0.585, 0.703, 0.675)
Se (0.175, 0.085, 0.703)
Se (0.382, 0.973, 0.797)
Se (0.591, 0.618, 0.415)
Se (0.297, 0.415, 0.825)
Se (0.973, 0.591, 0.175)
Se (0.618, 0.591, 0.915)
Se (0.585, 0.882, 0.409)
Se (0.825, 0.915, 0.297)
Se (0.175, 0.091, 0.973)
Se (0.703, 0.118, 0.027)
Se (0.675, 0.473, 0.591)
Se (0.675, 0.203, 0.585)
Se (0.203, 0.527, 0.618)
Se (0.203, 0.675, 0.085)
Se (0.591, 0.973, 0.675)
Se (0.973, 0.382, 0.297)
Se (0.882, 0.585, 0.909)
Se (0.415, 0.297, 0.325)
Se (0.882, 0.297, 0.473)
Dy (0.375, 0.750, 0.625)
Dy (0.250, 0.625, 0.875)
Dy (0.750, 0.875, 0.625)
Dy (0.625, 0.250, 0.375)
Dy (0.875, 0.750, 0.125)
Dy (0.125, 0.875, 0.750)
Dy (0.250, 0.125, 0.375)
Dy (0.625, 0.375, 0.750)
Dy (0.750, 0.375, 0.125)
Dy (0.125, 0.250, 0.875)
Dy (0.875, 0.125, 0.250)
Dy (0.375, 0.625, 0.250)
Ni (0.125, 0.750, 0.375)
Ni (0.000, 0.000, 0.000)
Ni (0.000, 0.500, 0.500)
Ni (0.125, 0.375, 0.250)
Ni (0.875, 0.250, 0.625)
Ni (0.500, 0.000, 0.000)
Ni (0.875, 0.625, 0.750)
Ni (0.750, 0.625, 0.375)
Ni (0.250, 0.875, 0.125)
Ni (0.500, 0.500, 0.500)
Ni (0.250, 0.375, 0.625)
Ni (0.625, 0.875, 0.250)
Ni (0.500, 0.000, 0.500)
Ni (0.000, 0.000, 0.500)
Ni (0.375, 0.125, 0.750)
Ni (0.000, 0.500, 0.000)
Ni (0.750, 0.125, 0.875)
Ni (0.500, 0.500, 0.000)
Ni (0.625, 0.750, 0.875)
Ni (0.375, 0.250, 0.125)


Material: Dy4NiTeSe2
Method: DFT, GGA-PBE
State: relaxed

Summary:
Total moment, μB per cell: 0.00
Formation energy (no corrections), eV/atom: -1.258
DFT total energy, hartree per atom: -0.2038

Cell: 4.024 7.286 7.242 Å, 108.35 90.00 90.00°
Atoms (fractional coordinates):
Dy (0.500, 0.273, 0.256)
Dy (0.000, 0.283, 0.772)
Dy (0.500, 0.727, 0.744)
Dy (0.000, 0.717, 0.228)
Ni (0.500, 0.500, 0.000)
Se (0.000, 0.500, 0.500)
Se (0.500, 0.000, 0.500)
Te (0.000, 0.000, 0.000)


Material: Dy4NiTe2Se
Method: DFT, GGA-PBE
State: relaxed

Summary:
Total moment, μB per cell: 0.00
Formation energy (no corrections), eV/atom: -1.196
DFT total energy, hartree per atom: -0.2000

Cell: 4.064 7.355 7.454 Å, 108.26 90.00 90.00°
Atoms (fractional coordinates):
Te (0.000, 0.500, 0.500)
Te (0.500, 0.000, 0.500)
Se (0.000, 0.000, 0.000)
Dy (0.500, 0.748, 0.780)
Dy (0.000, 0.285, 0.796)
Dy (0.000, 0.715, 0.204)
Dy (0.500, 0.252, 0.220)
Ni (0.500, 0.500, 0.000)


Material: DySiNi3
Method: DFT, GGA-PBE
State: relaxed

Summary:
Total moment, μB per cell: 0.00
ΔE to the lowest computed polymorph, meV per atom: 171
Formation energy (no corrections), eV/atom: -0.255
DFT total energy, hartree per atom: -0.2105

Cell: 4.812 4.812 8.186 Å, 107.09 107.09 90.00°
Atoms (fractional coordinates):
Ni (0.138, 0.878, 0.757)
Ni (0.122, 0.381, 0.243)
Ni (0.122, 0.862, 0.243)
Ni (0.269, 0.269, 0.539)
Ni (0.731, 0.731, 0.461)
Ni (0.619, 0.878, 0.757)
Dy (0.886, 0.386, 0.773)
Dy (0.614, 0.114, 0.227)
Si (0.000, 0.000, 0.000)
Si (0.250, 0.750, 0.500)


Material: DySiNi
Method: DFT, GGA-PBE
State: relaxed

Summary:
Total moment, μB per cell: 0.00
Formation energy (no corrections), eV/atom: -0.778
DFT total energy, hartree per atom: -0.2222

Cell: 3.813 4.042 4.042 Å, 120.00 90.00 90.00°
Atoms (fractional coordinates):
Dy (0.667, 0.667, 0.333)
Si (0.167, 0.333, 0.667)
Ni (0.167, 0.000, 0.000)


Material: Dy3Si4Ni2
Method: DFT, GGA-PBE
State: relaxed

Summary:
Total moment, μB per cell: 0.00
ΔE to the lowest computed polymorph, meV per atom: 32
Formation energy (no corrections), eV/atom: -0.803
DFT total energy, hartree per atom: -0.2217

Cell: 4.082 5.544 7.931 Å, 104.93 90.00 111.60°
Atoms (fractional coordinates):
Si (0.903, 0.807, 0.590)
Si (0.097, 0.193, 0.410)
Si (0.283, 0.566, 0.927)
Si (0.717, 0.434, 0.073)
Dy (0.000, 0.000, 0.000)
Dy (0.376, 0.753, 0.307)
Dy (0.624, 0.247, 0.693)
Ni (0.316, 0.633, 0.647)
Ni (0.684, 0.367, 0.353)


Q: What is the formation energy (no corrections) in the seventh record?
A: -0.778 eV/atom


Q: What is the total moment in the second record?
A: 0.00 μB per cell


Copy entry 2 word for word.
Material: Dy2NiSe
Method: DFT, GGA-PBE
State: relaxed

Summary:
Total moment, μB per cell: 0.00
ΔE to the lowest computed polymorph, meV per atom: 64
Formation energy (no corrections), eV/atom: -1.022
DFT total energy, hartree per atom: -0.2073

Cell: 3.904 3.904 7.367 Å, 74.64 74.64 60.00°
Atoms (fractional coordinates):
Dy (0.258, 0.258, 0.226)
Dy (0.742, 0.742, 0.774)
Ni (0.000, 0.000, 0.000)
Se (0.500, 0.500, 0.500)


Q: The lowest formation energy (no corrections) belongs to which entry?
A: Dy4NiTeSe2